Record 1
# PBE LaTmCd2, relaxed
# - N(E_F): 19.43 states/eV per cell
# - Uncorrected energy: -3.11 eV per atom
data_LaTmCd2
_chemical_formula_sum 'La4 Tm4 Cd8'
_symmetry_space_group_name_H-M 'F m -3 m'
_symmetry_Int_Tables_number 225
_symmetry_space_group_name_Hall '-F 4 2 3'
_cell_length_a 7.6544
_cell_length_b 7.6544
_cell_length_c 7.6544
_cell_angle_alpha 90.00
_cell_angle_beta 90.00
_cell_angle_gamma 90.00
loop_
_atom_site_label
_atom_site_fract_x
_atom_site_fract_y
_atom_site_fract_z
La1 0.0000 0.0000 0.0000
Tm1 0.0000 0.0000 0.5000
Cd1 0.2500 0.2500 0.2500

---

Record 2
# PBE CeCrAu11, relaxed
# - N(E_F): 22.95 states/eV per cell
# - Uncorrected energy: -4.12 eV per atom
data_CeCrAu11
_chemical_formula_sum 'Ce2 Cr2 Au22'
_symmetry_space_group_name_H-M 'C 1 2/m 1'
_symmetry_Int_Tables_number 12
_cell_length_a 5.6195
_cell_length_b 13.4261
_cell_length_c 7.2659
_cell_angle_alpha 90.00
_cell_angle_beta 111.64
_cell_angle_gamma 90.00
loop_
_symmetry_equiv_pos_as_xyz
'x,y,z'
'-x,-y,-z'
'-x,y,-z'
'x,-y,z'
'x+1/2,y+1/2,z'
'-x+1/2,-y+1/2,-z'
'-x+1/2,y+1/2,-z'
'x+1/2,-y+1/2,z'
loop_
_atom_site_label
_atom_site_fract_x
_atom_site_fract_y
_atom_site_fract_z
Ce1 0.0000 0.0000 0.0000
Cr1 0.0000 0.0000 0.5000
Au1 0.0000 0.5000 0.5000
Au2 0.1154 0.3942 0.2163
Au3 0.1560 0.1688 0.3496
Au4 0.2500 0.2500 0.0000

---

Record 3
# PBE KErMg2, relaxed
# - N(E_F): 4.08 states/eV per cell
# - Uncorrected energy: -2.07 eV per atom
data_KErMg2
_chemical_formula_sum 'K1 Er1 Mg2'
_symmetry_space_group_name_H-M 'P 4/m m m'
_symmetry_Int_Tables_number 123
_symmetry_space_group_name_Hall '-P 4 2'
_cell_length_a 3.6187
_cell_length_b 3.6187
_cell_length_c 10.1452
_cell_angle_alpha 90.00
_cell_angle_beta 90.00
_cell_angle_gamma 90.00
loop_
_atom_site_label
_atom_site_fract_x
_atom_site_fract_y
_atom_site_fract_z
K1 0.0000 0.0000 0.0000
Er1 0.0000 0.0000 0.5000
Mg1 0.5000 0.5000 0.2939

---

Record 4
# PBE La4Zr3, relaxed
# - N(E_F): 23.16 states/eV per cell
# - Uncorrected energy: -6.31 eV per atom
data_La4Zr3
_chemical_formula_sum 'La8 Zr6'
_symmetry_space_group_name_H-M 'I 4/m m m'
_symmetry_Int_Tables_number 139
_symmetry_space_group_name_Hall '-I 4 2'
_cell_length_a 3.9994
_cell_length_b 3.9994
_cell_length_c 26.3475
_cell_angle_alpha 90.00
_cell_angle_beta 90.00
_cell_angle_gamma 90.00
loop_
_atom_site_label
_atom_site_fract_x
_atom_site_fract_y
_atom_site_fract_z
La1 0.0000 0.0000 0.0645
La2 0.0000 0.0000 0.3481
Zr1 0.0000 0.0000 0.2262
Zr2 0.0000 0.0000 0.5000